A relaxed NbCuRe2Hg crystal. Source: Alexandria via LeMat-Bulk, functional PBE-GGA.

- symmetry = P4/mmm
- E_form (meV/atom) = 1602
- size of the total moment (μB per formula unit) = 0.00

Cell and atoms, written as POSCAR:
```
NbCuRe2Hg
1.0
-0.052 -3.036 3.357
1.847 -3.110 -2.784
4.139 1.327 1.265
Cu Re Nb Hg
1 2 1 1
Cartesian
0.000 0.000 0.000
-0.026 -1.518 1.679
2.070 0.663 0.632
0.924 -1.555 -1.392
2.967 -2.410 0.919
```